PrCu2Pd2 | GGA-PBE | relaxed

Cell lengths 11.3643, 11.3643, 11.3643 Å; angles 159.23, 159.23, 29.54 degrees
Last column: nearest neighbours and their distance in Å.
Sites, in units of the cell vectors:
Pr 0.1276 0.1276 0.0000  8 Cu 3.12-3.47, 8 Pd 3.17-3.38
Pr 0.8724 0.8724 0.0000  8 Cu 3.12-3.47, 8 Pd 3.17-3.38
Cu 0.0000 0.5000 0.5000  4 Pd 2.54
Cu 0.3194 0.3194 0.0000  5 Pd 2.46-2.55
Cu 0.5000 0.0000 0.5000  4 Pd 2.54
Cu 0.6806 0.6806 0.0000  5 Pd 2.46-2.55
Pd 0.2500 0.7500 0.5000  4 Cu 2.55
Pd 0.4315 0.4315 0.0000  5 Cu 2.46-2.54
Pd 0.5685 0.5685 0.0000  5 Cu 2.46-2.54
Pd 0.7500 0.2500 0.5000  4 Cu 2.55

Results
The space group is I4/mmm, No. 139. For the energy of formation, the calculation gives -192 kJ/mol of formula units. The calculation puts the uncorrected energy at -25.35 eV per formula unit.